No. 1
{
  "formula": "Cu2H2Br",
  "functional": "GGA-PBE",
  "state": "optimized geometry",
  "lattice": [[-2.677, -1.108, 1.843], [-0.431, -2.606, -2.194], [2.024, -5.156, 3.039]],
  "species": ["Cu", "Cu", "H", "H", "Br"],
  "frac_coords": [[0.210, 0.210, 0.579], [0.790, 0.790, 0.421], [0.750, 0.250, 0.500], [0.250, 0.750, 0.500], [0.000, 0.000, 0.000]],
  "mass_density_g_cm3": 5.05,
  "space_group": "I4/mmm",
  "total_magnetization_mub_per_cell": 0.00,
  "dos_at_fermi_per_ev_cell": 1.9,
  "final_energy_ev_per_cell": -16.327
}

No. 2
{
  "formula": "CuHBr3",
  "functional": "GGA-PBE",
  "state": "optimized geometry",
  "lattice": [[5.020, 0.000, 0.000], [0.000, 5.020, 0.000], [0.000, 0.000, 5.020]],
  "species": ["Br", "Br", "Br", "Cu", "H"],
  "frac_coords": [[0.500, 0.000, 0.000], [0.000, 0.500, 0.000], [0.000, 0.000, 0.500], [0.000, 0.000, 0.000], [0.500, 0.500, 0.500]],
  "polymorph_energy_ev_per_atom": 0.668,
  "mass_density_g_cm3": 3.99,
  "space_group": "Pm-3m",
  "total_magnetization_mub_per_cell": 0.85,
  "dos_at_fermi_per_ev_cell": 6.3,
  "final_energy_ev_per_cell": -10.185
}

Please write out number 1 again, unchanged.
{
  "formula": "Cu2H2Br",
  "functional": "GGA-PBE",
  "state": "optimized geometry",
  "lattice": [[-2.677, -1.108, 1.843], [-0.431, -2.606, -2.194], [2.024, -5.156, 3.039]],
  "species": ["Cu", "Cu", "H", "H", "Br"],
  "frac_coords": [[0.210, 0.210, 0.579], [0.790, 0.790, 0.421], [0.750, 0.250, 0.500], [0.250, 0.750, 0.500], [0.000, 0.000, 0.000]],
  "mass_density_g_cm3": 5.05,
  "space_group": "I4/mmm",
  "total_magnetization_mub_per_cell": 0.00,
  "dos_at_fermi_per_ev_cell": 1.9,
  "final_energy_ev_per_cell": -16.327
}